This record from the Alexandria database describes a relaxed structure of TcNi. The functional is PBEsol.

a b c (Å): 2.510 4.019 4.947
angles (deg): 90.00 104.70 90.00
Element x y z (fractional)
Tc1 0.828 0.750 0.655
Tc2 0.172 0.250 0.345
Ni1 0.436 0.250 0.871
Ni2 0.564 0.750 0.129

Output
energy relative to the elements	-30	meV/atom
E	-35.0	eV for the cell shown
magnetic moment	0.0	μB per formula unit
energy above the lowest structure with this stoichiometry	28	meV per atom